[1]
# ReIr4Os | the Alexandria database | PBE | relaxed
data_ReIr4Os
_chemical_formula_sum 'Re1 Ir4 Os1'
_symmetry_space_group_name_H-M 'P 1'
_symmetry_Int_Tables_number 1
_symmetry_space_group_name_Hall 'P 1'
_cell_length_a 5.077
_cell_length_b 5.077
_cell_length_c 5.077
_cell_angle_alpha 60.00
_cell_angle_beta 60.00
_cell_angle_gamma 60.00
loop_
_atom_site_label
_atom_site_fract_x
_atom_site_fract_y
_atom_site_fract_z
Re1 0.000 0.000 0.000
Ir1 0.375 0.375 0.375
Ir2 0.375 0.375 0.875
Ir3 0.375 0.875 0.375
Ir4 0.875 0.375 0.375
Os1 0.750 0.750 0.750
# Total magnetization ... 0.00 μB/cell
# Symmetry ... F-43m
# E ... -9.172 eV/atom
# Energy above the most stable polymorph in this dataset ... 3.64 eV per formula unit
# Energy of formation from the pure elements ... 0.68 eV/atom


[2]
# Li3Ac2AgSn4 | the Alexandria database | PBE | relaxed
data_Li3Ac2AgSn4
_chemical_formula_sum 'Li3 Ac2 Ag1 Sn4'
_symmetry_space_group_name_H-M 'P 1'
_symmetry_Int_Tables_number 1
_symmetry_space_group_name_Hall 'P 1'
_cell_length_a 4.718
_cell_length_b 4.718
_cell_length_c 11.192
_cell_angle_alpha 90.00
_cell_angle_beta 90.00
_cell_angle_gamma 90.00
loop_
_atom_site_label
_atom_site_fract_x
_atom_site_fract_y
_atom_site_fract_z
Li1 0.000 0.000 0.000
Li2 0.000 0.500 0.630
Li3 0.500 0.000 0.370
Ac1 0.000 0.500 0.246
Ac2 0.500 0.000 0.754
Ag1 0.500 0.500 0.000
Sn1 0.000 0.000 0.500
Sn2 0.000 0.500 0.868
Sn3 0.500 0.000 0.132
Sn4 0.500 0.500 0.500
# Total magnetization ... 0.00 μB/cell
# Symmetry ... P-4m2
# E ... -3.827 eV/atom
# Energy of formation from the pure elements ... -0.54 eV/atom


[3]
# Pr3URu4 | the Alexandria database | PBE | relaxed
data_Pr3URu4
_chemical_formula_sum 'Pr3 U1 Ru4'
_symmetry_space_group_name_H-M 'P 1'
_symmetry_Int_Tables_number 1
_symmetry_space_group_name_Hall 'P 1'
_cell_length_a 6.382
_cell_length_b 6.382
_cell_length_c 6.382
_cell_angle_alpha 126.80
_cell_angle_beta 105.71
_cell_angle_gamma 97.48
loop_
_atom_site_label
_atom_site_fract_x
_atom_site_fract_y
_atom_site_fract_z
Pr1 0.000 0.000 0.000
Pr2 0.388 0.632 0.755
Pr3 0.877 0.632 0.245
U1 0.559 0.059 0.500
Ru1 0.339 0.104 0.765
Ru2 0.339 0.574 0.235
Ru3 0.602 0.286 0.316
Ru4 0.969 0.286 0.684
# Total magnetization ... 0.00 μB/cell
# Symmetry ... Imm2
# E ... -8.027 eV/atom
# Energy of formation from the pure elements ... -0.19 eV/atom


What is the energy of formation from the pure elements in the second record? -0.54 eV/atom


Copy entry 3 word for word.
# Pr3URu4 | the Alexandria database | PBE | relaxed
data_Pr3URu4
_chemical_formula_sum 'Pr3 U1 Ru4'
_symmetry_space_group_name_H-M 'P 1'
_symmetry_Int_Tables_number 1
_symmetry_space_group_name_Hall 'P 1'
_cell_length_a 6.382
_cell_length_b 6.382
_cell_length_c 6.382
_cell_angle_alpha 126.80
_cell_angle_beta 105.71
_cell_angle_gamma 97.48
loop_
_atom_site_label
_atom_site_fract_x
_atom_site_fract_y
_atom_site_fract_z
Pr1 0.000 0.000 0.000
Pr2 0.388 0.632 0.755
Pr3 0.877 0.632 0.245
U1 0.559 0.059 0.500
Ru1 0.339 0.104 0.765
Ru2 0.339 0.574 0.235
Ru3 0.602 0.286 0.316
Ru4 0.969 0.286 0.684
# Total magnetization ... 0.00 μB/cell
# Symmetry ... Imm2
# E ... -8.027 eV/atom
# Energy of formation from the pure elements ... -0.19 eV/atom


What is the energy of formation from the pure elements in the first record? 0.68 eV/atom


Which formula does entry 2 have? Li3Ac2AgSn4